Entry from Alexandria: a relaxed La2Si3Ni12Pd crystal (GGA-PBE).

Computed properties:
As for the space group: No. 166. For the energy, the calculation gives -101.818 eV per formula unit. The calculation puts the formation energy (no corrections) at -0.0625 eV/atom.

a = 6.3301 Å, b = 6.3301 Å, c = 6.3301 Å
α = 84.57°, β = 84.57°, γ = 84.57°
Closest atoms and distances in Å follow each position.
Element x y z (fractional)
La 0.6396 0.6396 0.6396  3 Ni 2.45
La 0.3604 0.3604 0.3604  3 Ni 2.45
Ni 0.9125 0.3777 0.3777  2 Ni 2.40-2.67, 2 Si 2.47
Ni 0.6886 0.1900 0.1900  1 Si 2.27, 3 Ni 2.40-2.53, 1 La 2.45, 1 Pd 2.48
Ni 0.3777 0.3777 0.9125  2 Ni 2.40-2.67, 2 Si 2.47
Ni 0.0875 0.6223 0.6223  2 Ni 2.40-2.67, 2 Si 2.47
Ni 0.6223 0.0875 0.6223  2 Ni 2.40-2.67, 2 Si 2.47
Ni 0.6223 0.6223 0.0875  2 Ni 2.40-2.67, 2 Si 2.47
Ni 0.3114 0.8100 0.8100  1 Si 2.27, 3 Ni 2.40-2.53, 1 La 2.45, 1 Pd 2.48
Ni 0.1900 0.6886 0.1900  1 Si 2.27, 3 Ni 2.40-2.53, 1 La 2.45, 1 Pd 2.48
Ni 0.8100 0.8100 0.3114  1 Si 2.27, 3 Ni 2.40-2.53, 1 La 2.45, 1 Pd 2.48
Ni 0.3777 0.9125 0.3777  2 Ni 2.40-2.67, 2 Si 2.47
Ni 0.1900 0.1900 0.6886  1 Si 2.27, 3 Ni 2.40-2.53, 1 La 2.45, 1 Pd 2.48
Ni 0.8100 0.3114 0.8100  1 Si 2.27, 3 Ni 2.40-2.53, 1 La 2.45, 1 Pd 2.48
Si 0.5000 0.0000 0.0000  6 Ni 2.27-2.47
Si 0.0000 0.5000 0.0000  6 Ni 2.27-2.47
Si 0.0000 0.0000 0.5000  6 Ni 2.27-2.47
Pd 0.0000 0.0000 0.0000  6 Ni 2.48

***

Entry from Alexandria: a relaxed TaCu2GeSb crystal (GGA-PBE).

Computed properties:
As for the space group: No. 123. For the energy, the calculation gives -23.397 eV per formula unit. The calculation puts the formation energy (no corrections) at 1.0776 eV/atom.

a = 4.3644 Å, b = 5.5528 Å, c = 4.3644 Å
α = 90.00°, β = 90.00°, γ = 90.00°
Closest atoms and distances in Å follow each position.
Element x y z (fractional)
Ta 0.5000 0.5000 0.5000  4 Sb 3.09
Sb 0.0000 0.5000 0.0000  2 Ge 2.78, 4 Ta 3.09
Cu 0.0000 0.0000 0.5000  2 Ge 2.18
Cu 0.5000 0.0000 0.0000  2 Ge 2.18
Ge 0.0000 0.0000 0.0000  4 Cu 2.18

***

Entry from Alexandria: a relaxed AlAsOs2 crystal (GGA-PBE).

Computed properties:
As for the space group: No. 166. For the energy, the calculation gives -30.259 eV per formula unit. For the energy above the most stable polymorph in this dataset, the calculation gives 0.190 eV/atom.

a = 8.2833 Å, b = 8.2833 Å, c = 8.2833 Å
α = 20.12°, β = 20.12°, γ = 20.12°
Closest atoms and distances in Å follow each position.
Element x y z (fractional)
Al 0.2500 0.2500 0.2500  6 Os 2.66, 6 Al 2.89
As 0.7500 0.7500 0.7500  6 Os 2.60, 6 As 2.89
Os 0.0015 0.0015 0.0015  3 As 2.60, 3 Al 2.66, 6 Os 2.89
Os 0.4985 0.4985 0.4985  3 As 2.60, 3 Al 2.66, 6 Os 2.89

***

Number 1: total magnetization 0.00 μB/f.u.. Number 2: total magnetization 1.64 μB/f.u.. Number 3: total magnetization 0.00 μB/f.u..